Entry 1:
Compound: LiAcTm
Source: OQMD
Functional: PBE
Structure: optimized geometry

Unit cell a=5.3801 b=5.3801 c=5.3801 alpha=60.00 beta=60.00 gamma=60.00
Closest atoms and distances in Å follow each position.
Sites, in units of the cell vectors:
Li: 0.0000 0.0000 0.0000  4 Ac 3.29
Ac: 0.2500 0.2500 0.2500  4 Tm 3.29, 4 Li 3.29
Tm: 0.5000 0.5000 0.5000  4 Ac 3.29

Results
* polymorph energy (0 for the lowest one): 0.439 eV/atom
* volume: 36.71 A^3/atom
* size of the total moment: 0.01 μB/cell

---

Entry 2:
Compound: Al2BAu
Source: OQMD
Functional: PBE
Structure: optimized geometry

Unit cell a=4.3881 b=4.3881 c=4.3881 alpha=60.00 beta=60.00 gamma=60.00
Closest atoms and distances in Å follow each position.
Sites, in units of the cell vectors:
Al: 0.0000 0.0000 0.0000  4 Al 2.69, 4 Au 2.69
Al: 0.2500 0.2500 0.2500  4 B 2.69, 4 Al 2.69
B: 0.5000 0.5000 0.5000  4 Au 2.69, 4 Al 2.69
Au: 0.7500 0.7500 0.7500  4 Al 2.69, 4 B 2.69

Results
* calculated total energy: -14.71 eV/f.u.
* volume: 14.94 A^3/atom

---

Entry 3:
Compound: Zn2CuW
Source: OQMD
Functional: PBE
Structure: optimized geometry

Unit cell a=4.3104 b=4.3104 c=4.3104 alpha=60.00 beta=60.00 gamma=60.00
Closest atoms and distances in Å follow each position.
Sites, in units of the cell vectors:
Zn: 0.2500 0.2500 0.2500  4 W 2.64, 4 Cu 2.64
Zn: 0.7500 0.7500 0.7500  4 W 2.64, 4 Cu 2.64
Cu: 0.0000 0.0000 0.0000  8 Zn 2.64
W: 0.5000 0.5000 0.5000  8 Zn 2.64

Results
* polymorph energy (0 for the lowest one): 0.000 eV/atom
* volume: 14.16 A^3/atom
* size of the total moment: 0.98 μB/cell
* formation energy: 0.50 eV/atom

---

Entry 4:
Compound: DyAgSO
Source: OQMD
Functional: PBE
Structure: optimized geometry

Unit cell a=5.6498 b=5.6488 c=10.8176 alpha=90.00 beta=91.76 gamma=90.00
Closest atoms and distances in Å follow each position.
Sites, in units of the cell vectors:
Dy: 0.0039 0.0000 0.0982  4 O 2.25-2.28
Dy: 0.4946 0.0012 0.9008  4 O 2.25-2.28
Dy: 0.5054 0.5012 0.0992  4 O 2.25-2.28
Dy: 0.9961 0.5000 0.9018  4 O 2.25-2.28
Ag: 0.1884 0.2733 0.4970  2 S 2.37
Ag: 0.4994 0.0187 0.2962  2 S 2.35-2.36
Ag: 0.5006 0.5187 0.7038  2 S 2.35-2.36
Ag: 0.8116 0.7733 0.5030  2 S 2.37
S: 0.2013 0.3100 0.2793  2 Ag 2.36-2.37
S: 0.2054 0.2274 0.7148  2 Ag 2.35-2.37
S: 0.7946 0.7274 0.2852  2 Ag 2.35-2.37
S: 0.7987 0.8100 0.7207  2 Ag 2.36-2.37
O: 0.2498 0.7497 0.0002  4 Dy 2.25-2.28
O: 0.2527 0.2490 0.9996  4 Dy 2.25-2.28
O: 0.7473 0.7490 0.0004  4 Dy 2.25-2.28
O: 0.7502 0.2497 0.9998  4 Dy 2.25-2.28

Results
* calculated total energy: -24.24 eV/f.u.
* volume: 21.57 A^3/atom
* size of the total moment: 0.00 μB/cell

---

Entry 5:
Compound: K2Ag2W3
Source: OQMD
Functional: PBE
Structure: optimized geometry

Unit cell a=12.4510 b=12.4510 c=12.4510 alpha=20.30 beta=20.30 gamma=20.30
Closest atoms and distances in Å follow each position.
Sites, in units of the cell vectors:
K: 0.0000 0.0000 0.0000  3 Ag 3.40, 3 W 3.67
K: 0.4552 0.4552 0.4552  6 Ag 3.35-3.45
Ag: 0.1858 0.1858 0.1858  4 W 2.75-2.91
Ag: 0.7285 0.7285 0.7285  6 K 3.35-3.40
W: 0.2609 0.2609 0.2609  6 W 2.62-2.85, 1 Ag 2.75
W: 0.5760 0.5760 0.5760  6 W 2.61-2.62
W: 0.8918 0.8918 0.8918  6 W 2.61-2.85, 3 Ag 2.91

Results
* calculated total energy: -41.06 eV/f.u.
* volume: 29.04 A^3/atom
* size of the total moment: 0.00 μB/cell

---

Entry 6:
Compound: GdSiH2O4
Source: OQMD
Functional: PBE
Structure: optimized geometry

Unit cell a=6.2050 b=5.7741 c=7.1817 alpha=55.97 beta=50.46 gamma=73.57
Closest atoms and distances in Å follow each position.
Sites, in units of the cell vectors:
Gd: 0.0000 0.0000 0.0000  8 O 2.44-2.62
Gd: 0.2500 0.2500 0.2500  8 O 2.44-2.62
Si: 0.5196 0.5196 0.4804  4 O 1.63-1.69
Si: 0.7696 0.7696 0.7304  4 O 1.63-1.69
H: 0.1439 0.6139 0.8047  1 O 1.05
H: 0.4453 0.8125 0.1061  1 O 1.05
H: 0.6139 0.1439 0.4375  1 O 1.05
H: 0.8125 0.4453 0.6361  1 O 1.05
O: 0.2609 0.4425 0.8151  1 H 1.05
O: 0.4349 0.7684 0.9891  1 H 1.05
O: 0.4425 0.2609 0.4816  1 H 1.05
O: 0.5050 0.8391 0.2706  1 H 1.53, 1 Si 1.63
O: 0.7684 0.4349 0.8075  1 H 1.05
O: 0.8391 0.5050 0.3853  1 H 1.53, 1 Si 1.63
O: 0.8647 0.9794 0.4109  1 H 1.53, 1 Si 1.63
O: 0.9794 0.8647 0.7450  1 H 1.53, 1 Si 1.63

Results
* polymorph energy (0 for the lowest one): 0.000 eV/atom
* volume: 10.21 A^3/atom
* size of the total moment: 1.84 μB/cell

---

Entry 7:
Compound: Lu2GeO4
Source: OQMD
Functional: PBE
Structure: optimized geometry

Unit cell a=6.6015 b=6.6015 c=6.6015 alpha=60.00 beta=60.00 gamma=60.00
Closest atoms and distances in Å follow each position.
Sites, in units of the cell vectors:
Lu: 0.0000 0.0000 0.0000  6 O 2.22
Lu: 0.0000 0.0000 0.5000  6 O 2.22
Lu: 0.0000 0.5000 0.0000  6 O 2.22
Lu: 0.5000 0.0000 0.0000  6 O 2.22
Ge: 0.3750 0.3750 0.3750  4 O 2.24
Ge: 0.6250 0.6250 0.6250  4 O 2.24
O: 0.2099 0.7634 0.7634  3 Lu 2.22, 1 Ge 2.24
O: 0.2366 0.2366 0.2366  3 Lu 2.22, 1 Ge 2.24
O: 0.2366 0.2366 0.7901  3 Lu 2.22, 1 Ge 2.24
O: 0.2366 0.7901 0.2366  3 Lu 2.22, 1 Ge 2.24
O: 0.7634 0.2099 0.7634  3 Lu 2.22, 1 Ge 2.24
O: 0.7634 0.7634 0.2099  3 Lu 2.22, 1 Ge 2.24
O: 0.7634 0.7634 0.7634  3 Lu 2.22, 1 Ge 2.24
O: 0.7901 0.2366 0.2366  3 Lu 2.22, 1 Ge 2.24

Results
* calculated total energy: -52.96 eV/f.u.
* volume: 14.53 A^3/atom
* size of the total moment: 0.00 μB/cell

---

Entry 8:
Compound: Cs2AgPbF6
Source: OQMD
Functional: PBE
Structure: optimized geometry

Unit cell a=6.3767 b=6.3767 c=6.3767 alpha=59.87 beta=59.87 gamma=59.87
Closest atoms and distances in Å follow each position.
Sites, in units of the cell vectors:
Cs: 0.2500 0.2500 0.2500  12 F 3.18-3.19
Cs: 0.7500 0.7500 0.7500  12 F 3.18-3.19
Ag: 0.0000 0.0000 0.0000  6 F 2.23
Pb: 0.5000 0.5000 0.5000  6 F 2.27
F: 0.2466 0.2487 0.7518  1 Ag 2.23, 1 Pb 2.27
F: 0.2482 0.7534 0.7513  1 Ag 2.23, 1 Pb 2.27
F: 0.2487 0.7518 0.2466  1 Ag 2.23, 1 Pb 2.27
F: 0.7513 0.2482 0.7534  1 Ag 2.23, 1 Pb 2.27
F: 0.7518 0.2466 0.2487  1 Ag 2.23, 1 Pb 2.27
F: 0.7534 0.7513 0.2482  1 Ag 2.23, 1 Pb 2.27

Results
* polymorph energy (0 for the lowest one): 0.028 eV/atom
* volume: 18.28 A^3/atom

---

Entry 9:
Compound: Nd4TcOs
Source: OQMD
Functional: PBE
Structure: optimized geometry

Unit cell a=6.4758 b=6.4758 c=4.4591 alpha=90.00 beta=90.00 gamma=90.01
Closest atoms and distances in Å follow each position.
Sites, in units of the cell vectors:
Nd: 0.1940 0.8060 0.0000  1 Tc 2.80, 2 Os 2.85
Nd: 0.3057 0.3057 0.5000  1 Os 2.80, 2 Tc 2.85
Nd: 0.6943 0.6943 0.5000  1 Os 2.80, 2 Tc 2.85
Nd: 0.8060 0.1940 0.0000  1 Tc 2.80, 2 Os 2.85
Tc: 0.5000 0.5000 0.0000  6 Nd 2.80-2.85
Os: 0.0000 0.0000 0.5000  6 Nd 2.80-2.85

Results
* volume: 31.17 A^3/atom
* size of the total moment: 0.01 μB/cell
* formation energy: 0.19 eV/atom

---

Entry 10:
Compound: ZnPPbO
Source: OQMD
Functional: PBE
Structure: optimized geometry

Unit cell a=3.9482 b=3.9482 c=9.4675 alpha=90.00 beta=90.00 gamma=90.00
Closest atoms and distances in Å follow each position.
Sites, in units of the cell vectors:
Zn: 0.2500 0.7500 0.0000  4 P 2.45
Zn: 0.7500 0.2500 0.0000  4 P 2.45
P: 0.2500 0.2500 0.1537  4 Zn 2.45
P: 0.7500 0.7500 0.8463  4 Zn 2.45
Pb: 0.2500 0.2500 0.6303  4 O 2.33
Pb: 0.7500 0.7500 0.3697  4 O 2.33
O: 0.2500 0.7500 0.5000  4 Pb 2.33
O: 0.7500 0.2500 0.5000  4 Pb 2.33

Results
* polymorph energy (0 for the lowest one): 0.071 eV/atom
* volume: 18.45 A^3/atom

---

Entry 11:
Compound: Ta2Al2Ag
Source: OQMD
Functional: PBE
Structure: optimized geometry

Unit cell a=7.1396 b=7.1396 c=7.1396 alpha=149.68 beta=149.68 gamma=43.42
Closest atoms and distances in Å follow each position.
Sites, in units of the cell vectors:
Ta: 0.0952 0.0952 0.0000  1 Ta 2.53, 4 Al 2.78
Ta: 0.9048 0.9048 0.0000  1 Ta 2.53, 4 Al 2.78
Al: 0.2500 0.7500 0.5000  4 Al 2.64, 4 Ta 2.78
Al: 0.7500 0.2500 0.5000  4 Al 2.64, 4 Ta 2.78
Ag: 0.5000 0.5000 0.0000  8 Ta 2.93

Results
* polymorph energy (0 for the lowest one): 0.013 eV/atom
* volume: 18.50 A^3/atom
* size of the total moment: 0.01 μB/cell